A | Entry from OQMD via LeMat-Bulk: a relaxed structure of TmSnAuS3 (PBE).

Properties
magnetization	0.00	μB per formula unit
crystal system	monoclinic
calculated volume	534.68	Å³ per cell

Lattice parameters (Å, degrees): 17.3357 3.8563 8.2090 90.00 103.01 90.00
Space group C2/m (No. 12)
Asymmetric unit:
1 Tm 0.1638 0.0000 0.0905 (multiplicity 4)
2 Sn 0.1319 0.0000 0.5812 (multiplicity 4)
3 Au 0.0412 0.5000 0.2234 (multiplicity 4)
4 S 0.0000 0.0000 0.0000 (multiplicity 2)
5 S 0.0000 0.5000 0.5000 (multiplicity 2)
6 S 0.1745 0.5000 0.8607 (multiplicity 4)
7 S 0.1894 0.5000 0.3287 (multiplicity 4)

***

B | Entry from OQMD via LeMat-Bulk: a relaxed structure of TmSnAuS3 (PBE).

Properties
magnetization	0.00	μB per formula unit
crystal system	orthorhombic
calculated volume	630.66	Å³ per cell

Lattice parameters (Å, degrees): 14.3651 4.0338 10.8836 90.00 90.00 90.00
Space group Pnma (No. 62)
Asymmetric unit:
1 Tm 0.0110 0.2500 0.1532 (multiplicity 4)
2 Sn 0.2417 0.2500 0.9191 (multiplicity 4)
3 Au 0.1059 0.2500 0.5383 (multiplicity 4)
4 S 0.0945 0.2500 0.7505 (multiplicity 4)
5 S 0.1032 0.7500 0.0394 (multiplicity 4)
6 S 0.1474 0.2500 0.3288 (multiplicity 4)

***

Here are the energies relative to the best structure, in eV/atom: A 0.096; B 0.000.